Entry 1:
DFT (PBE-GGA) results for an optimized crystal structure of TbPbAuS3.

Cell: 7.6807 4.0136 9.8113 Å, 90.00 107.13 90.00°
Fractional positions:
1 Pb 0.7293 0.7500 0.2050
2 Pb 0.2707 0.2500 0.7950
3 S 0.3191 0.7500 0.0469
4 S 0.9463 0.7500 0.6875
5 S 0.6809 0.2500 0.9531
6 S 0.0537 0.2500 0.3125
7 S 0.4261 0.7500 0.6287
8 S 0.5739 0.2500 0.3713
9 Au 0.8653 0.7500 0.9177
10 Au 0.1347 0.2500 0.0823
11 Tb 0.6923 0.2500 0.6633
12 Tb 0.3077 0.7500 0.3367


Entry 2:
DFT (PBE-GGA) results for an optimized crystal structure of SrPrHf.

Cell: 5.4964 5.4964 5.4964 Å, 60.00 60.00 60.00°
Fractional positions:
1 Pr 0.2500 0.2500 0.2500
2 Sr 0.7500 0.7500 0.7500
3 Hf 0.0000 0.0000 0.0000


Entry 3:
DFT (PBE-GGA) results for an optimized crystal structure of Lu2SiO5.

Cell: 8.9412 6.6472 6.5447 Å, 90.00 103.27 90.00°
Fractional positions:
1 O 0.8658 0.5621 0.7022
2 O 0.3897 0.3808 0.0714
3 O 0.1342 0.0621 0.7978
4 O 0.3897 0.1192 0.5714
5 O 0.7875 0.5646 0.3143
6 O 0.7875 0.9354 0.8143
7 O 0.1020 0.7039 0.9910
8 O 0.8980 0.2039 0.5090
9 O 0.6121 0.1433 0.9863
10 O 0.8980 0.2961 0.0090
11 O 0.3879 0.8567 0.0137
12 O 0.2125 0.0646 0.1857
13 O 0.1020 0.7961 0.4910
14 O 0.3879 0.6433 0.5137
15 O 0.1342 0.4379 0.2978
16 O 0.6103 0.8808 0.4286
17 O 0.6103 0.6192 0.9286
18 O 0.6121 0.3567 0.4863
19 O 0.2125 0.4354 0.6857
20 O 0.8658 0.9379 0.2022
21 Lu 0.8610 0.6406 0.0272
22 Lu 0.5306 0.6216 0.2310
23 Lu 0.4694 0.3784 0.7690
24 Lu 0.8610 0.8594 0.5272
25 Lu 0.5306 0.8784 0.7310
26 Lu 0.1390 0.3594 0.9728
27 Lu 0.4694 0.1216 0.2690
28 Lu 0.1390 0.1406 0.4728
29 Si 0.2015 0.5953 0.4871
30 Si 0.7985 0.4047 0.5129
31 Si 0.7985 0.0953 0.0129
32 Si 0.2015 0.9047 0.9871


Entry 4:
DFT (PBE-GGA) results for an optimized crystal structure of PrNdBrNCl2.

Cell: 8.7594 8.7594 11.1636 Å, 120.12 120.12 26.78°
Fractional positions:
1 Cl 0.3323 0.3323 0.4881
2 Cl 0.7826 0.7826 0.8846
3 Cl 0.6677 0.6677 0.5119
4 Cl 0.2174 0.2174 0.1154
5 N 0.5735 0.5735 0.1558
6 N 0.4265 0.4265 0.8442
7 Nd 0.5860 0.5860 0.9570
8 Nd 0.4140 0.4140 0.0430
9 Pr 0.8627 0.8627 0.7061
10 Pr 0.1373 0.1373 0.2939
11 Br 0.9490 0.9490 0.2623
12 Br 0.0510 0.0510 0.7377


Entry 5:
DFT (PBE-GGA) results for an optimized crystal structure of ScAlRe.

Cell: 3.3164 3.3164 9.1483 Å, 90.00 90.00 90.00°
Fractional positions:
1 Re 0.5000 0.5000 0.5000
2 Re 0.0000 0.0000 0.0000
3 Sc 0.5000 0.5000 0.8350
4 Sc 0.5000 0.5000 0.1650
5 Al 0.0000 0.0000 0.3572
6 Al 0.0000 0.0000 0.6428


Entry 6:
DFT (PBE-GGA) results for an optimized crystal structure of Ho6Te5C.

Cell: 7.3629 7.3629 7.2496 Å, 99.62 99.62 119.59°
Fractional positions:
1 Te 0.5000 0.5000 0.5000
2 Te 0.1809 0.8191 0.5000
3 Te 0.3363 0.6637 0.0000
4 Te 0.8191 0.1809 0.5000
5 Te 0.6637 0.3363 0.0000
6 Ho 0.7981 0.7981 0.2248
7 Ho 0.0684 0.3472 0.2097
8 Ho 0.6528 0.9316 0.7903
9 Ho 0.3472 0.0684 0.2097
10 Ho 0.2019 0.2019 0.7752
11 Ho 0.9316 0.6528 0.7903
12 C 0.0000 0.0000 0.0000


Entry 7:
DFT (PBE-GGA) results for an optimized crystal structure of Sc4GaFeN2.

Cell: 3.1725 3.1725 13.7858 Å, 90.00 90.00 120.00°
Site moments in Bohr magnetons follow the coordinates.
Fractional positions:
1 Ga 0.3333 0.6667 0.5000  0.01
2 N 0.6667 0.3333 0.7554  0.01
3 N 0.6667 0.3333 0.2446  0.01
4 Sc 0.3333 0.6667 0.8533  -0.36
5 Sc 0.0000 0.0000 0.6698  -0.06
6 Sc 0.0000 0.0000 0.3302  -0.06
7 Sc 0.3333 0.6667 0.1467  -0.36
8 Fe 0.0000 0.0000 0.0000  1.96


Entry 8:
DFT (PBE-GGA) results for an optimized crystal structure of TmInPbSe3.

Cell: 7.6339 7.6339 11.4943 Å, 90.00 90.00 149.30°
Fractional positions:
1 Se 0.6335 0.3665 0.4980
2 Se 0.3665 0.6335 0.5020
3 Se 0.3665 0.6335 0.9980
4 Se 0.6335 0.3665 0.0020
5 Se 0.0056 0.9944 0.7500
6 Se 0.9944 0.0056 0.2500
7 Tm 0.0000 0.0000 0.5000
8 Tm 0.0000 0.0000 0.0000
9 In 0.6418 0.3582 0.7500
10 In 0.3582 0.6418 0.2500
11 Pb 0.3197 0.6803 0.7500
12 Pb 0.6803 0.3197 0.2500


Entry 9:
DFT (PBE-GGA) results for an optimized crystal structure of Hf4Mg2CN.

Cell: 3.2687 3.2687 15.3453 Å, 90.00 90.00 120.00°
Fractional positions:
1 Mg 0.6667 0.3333 0.2522
2 Mg 0.3333 0.6667 0.7478
3 Hf 0.3333 0.6667 0.0805
4 Hf 0.3333 0.6667 0.4211
5 Hf 0.6667 0.3333 0.9195
6 Hf 0.6667 0.3333 0.5789
7 N 0.0000 0.0000 0.5000
8 C 0.0000 0.0000 0.0000


Entry 10:
DFT (PBE-GGA) results for an optimized crystal structure of Zr4O11.

Cell: 12.7908 6.0465 3.8083 Å, 107.85 110.73 122.32°
Fractional positions:
1 O 0.6700 0.0870 0.6048
2 O 0.2959 0.1904 0.8710
3 O 0.9731 0.6864 0.3843
4 O 0.2577 0.7967 0.1636
5 O 0.0895 0.6038 0.9403
6 O 0.8275 0.0382 0.3305
7 O 0.0529 0.1664 0.1505
8 O 0.5776 0.9322 0.0888
9 O 0.5244 0.2894 0.6431
10 O 0.7111 0.5832 0.4947
11 O 0.4024 0.6932 0.8185
12 Zr 0.1899 0.0938 0.1834
13 Zr 0.7784 0.6146 0.0913
14 Zr 0.4399 0.1066 0.9537
15 Zr 0.9139 0.2509 0.0415


Entry 11:
DFT (PBE-GGA) results for an optimized crystal structure of NdGdCd6.

Cell: 5.1298 5.1298 7.2608 Å, 90.00 90.00 90.00°
Fractional positions:
1 Cd 0.5000 0.5000 0.5000
2 Cd 0.0000 0.5000 0.7470
3 Cd 0.0000 0.5000 0.2530
4 Cd 0.5000 0.0000 0.2530
5 Cd 0.5000 0.0000 0.7470
6 Cd 0.0000 0.0000 0.0000
7 Gd 0.0000 0.0000 0.5000
8 Nd 0.5000 0.5000 0.0000


Entry 12:
DFT (PBE-GGA) results for an optimized crystal structure of NbSbMo2.

Cell: 4.6210 4.6210 4.6210 Å, 60.00 60.00 60.00°
Fractional positions:
1 Mo 0.0000 0.0000 0.0000
2 Mo 0.7500 0.7500 0.7500
3 Nb 0.2500 0.2500 0.2500
4 Sb 0.5000 0.5000 0.5000


Record-wise calculated total energy values, in eV/atom: -4.9766; -4.4001; -8.3003; -5.8510; -7.7465; -5.5367; -7.6461; -4.4903; -8.2308; -8.2765; -2.1603; -8.7569
Record-wise magnetic moment values, in μB per atom: 0.000; 0.016; 0.000; 0.000; 0.001; 0.001; 0.080; 0.003; 0.001; 0.000; 0.001; 0.002